Entry 1:
The following is a PBE-GGA calculation of crystalline TbCe2Ho3Sb6 at its relaxed geometry, from the Alexandria database.

extended XYZ file:
```
12
Lattice="9.620 -2.210 0.000 9.620 2.210 0.000 -2.026 0.000 8.599" Properties=species:S:1:pos:R:3 pbc="T T T"
Tb 0.000 0.000 0.000
Ce 5.077 0.000 5.745
Ce 12.137 0.000 2.855
Ho -1.013 0.000 4.300
Ho 6.074 0.000 1.425
Ho 11.139 0.000 7.174
Sb 1.990 0.000 5.052
Sb 3.053 0.000 0.676
Sb 9.075 0.000 2.156
Sb 8.138 0.000 6.443
Sb 14.161 0.000 7.923
Sb 15.224 0.000 3.547
```

Results
N(E_F)   14.20 states/eV per cell
SG   C2/m

---

Entry 2:
The following is a PBE-GGA calculation of crystalline CaGaHPd2 at its relaxed geometry, from the Alexandria database.

extended XYZ file:
```
10
Lattice="1.878 -5.661 0.000 1.878 5.661 0.000 0.000 0.000 7.473" Properties=species:S:1:pos:R:3 pbc="T T T"
Ca 1.878 5.178 5.604
Ca 1.878 -5.178 1.868
Ga 1.878 3.030 1.868
Ga 1.878 -3.030 5.604
H 1.878 0.000 0.000
H 1.878 0.000 3.736
Pd 1.878 1.745 4.102
Pd 1.878 1.745 7.107
Pd 1.878 -1.745 0.365
Pd 1.878 -1.745 3.371
```

Results
N(E_F)   3.70 states/eV per cell
SG   Cmcm

---

Entry 3:
The following is a PBE-GGA calculation of crystalline AcCeCrN4 at its relaxed geometry, from the Alexandria database.

extended XYZ file:
```
14
Lattice="5.784 0.000 0.000 0.000 5.614 0.000 -2.346 0.000 6.812" Properties=species:S:1:pos:R:3 pbc="T T T"
Ac 0.216 1.403 2.925
Ac 3.222 4.210 3.886
Ce -0.594 1.403 6.556
Ce 4.032 4.210 0.256
Cr 1.082 4.210 1.294
Cr 2.355 1.403 5.517
N -0.399 4.210 2.276
N -1.689 4.210 6.429
N 2.103 2.833 1.640
N 2.103 5.588 1.640
N 1.335 0.026 5.171
N 1.335 2.781 5.171
N 5.126 1.403 0.383
N 3.836 1.403 4.536
```

Results
N(E_F)   12.22 states/eV per cell
SG   P2_1/m

---

Entry 4:
The following is a PBE-GGA calculation of crystalline AlAg3 at its relaxed geometry, from the Alexandria database.

extended XYZ file:
```
8
Lattice="4.770 -1.479 0.000 4.770 1.479 0.000 -2.243 0.000 9.822" Properties=species:S:1:pos:R:3 pbc="T T T"
Al 1.997 0.000 1.226
Al 5.300 0.000 8.596
Ag -1.517 0.000 7.442
Ag 1.062 0.000 6.201
Ag 4.770 0.000 0.000
Ag 3.648 0.000 4.911
Ag 6.235 0.000 3.622
Ag 8.814 0.000 2.380
```

Results
Calculated formation energy   -0.02 eV/atom
N(E_F)   2.24 states/eV per cell
SG   C2/m

---

Entry 5:
The following is a PBE-GGA calculation of crystalline Ho12Sc5Hg2 at its relaxed geometry, from the Alexandria database.

extended XYZ file:
```
19
Lattice="7.630 -4.527 0.000 7.630 4.527 0.000 -0.402 0.000 7.941" Properties=species:S:1:pos:R:3 pbc="T T T"
Ho 0.687 0.000 2.114
Ho 5.719 2.759 2.939
Ho 4.783 1.689 6.040
Ho 9.139 2.759 5.001
Ho 6.070 0.000 0.913
Ho 10.075 1.689 1.900
Ho 4.783 -1.689 6.040
Ho 8.788 0.000 7.028
Ho 5.719 -2.759 2.939
Ho 10.075 -1.689 1.900
Ho 9.139 -2.759 5.001
Ho 14.171 0.000 5.827
Sc 2.441 0.000 7.820
Sc 3.767 0.000 3.218
Sc 7.429 0.000 3.970
Sc 11.091 0.000 4.723
Sc 12.417 0.000 0.121
Hg 7.630 2.488 0.000
Hg 7.630 -2.488 0.000
```

Results
Calculated formation energy   0.03 eV/atom
N(E_F)   26.83 states/eV per cell
SG   C2/m

---

Entry 6:
The following is a PBE-GGA calculation of crystalline GaGe2HIr at its relaxed geometry, from the Alexandria database.

extended XYZ file:
```
5
Lattice="4.924 0.000 0.000 0.000 4.924 0.000 0.000 0.000 3.418" Properties=species:S:1:pos:R:3 pbc="T T T"
Ga 0.000 0.000 0.000
Ge 0.000 2.462 1.709
Ge 2.462 0.000 1.709
H 2.462 2.462 0.000
Ir 2.462 2.462 1.709
```

Results
N(E_F)   2.52 states/eV per cell
SG   P4/mmm

---

no.,electronic total energy (eV per cell)
1,-68.121
2,-44.312
3,-121.046
4,-24.762
5,-86.588
6,-23.630